*a*
A plane-wave DFT calculation with PBE was carried out for LiPmP after structural relaxation.

Unit cell a=4.8669 b=4.8669 c=4.8669 alpha=132.15 beta=132.15 gamma=70.00
Closest atoms and distances in Å follow each position.
Atoms (fractional coordinates):
Li 0.0000 0.0000 0.0000  1 P 2.40
Pm 0.3418 0.3418 0.0000  1 Li 2.73, 5 P 2.84-3.02
P 0.6986 0.6986 0.0000  1 Li 2.40

## Properties
The value obtained for the density of states at the Fermi level is 0.70 states/eV/atom. The space group is I4mm. The value obtained for the volume is 62 Å³/f.u. For the theoretical density, the calculation gives 4.89 g/cm3.

*b*
A plane-wave DFT calculation with PBE was carried out for LiPmP after structural relaxation.

Unit cell a=4.5808 b=4.5808 c=4.5808 alpha=60.00 beta=60.00 gamma=60.00
Closest atoms and distances in Å follow each position.
Atoms (fractional coordinates):
Li 0.0000 0.0000 0.0000  4 P 2.81
Pm 0.5000 0.5000 0.5000  4 P 2.81
P 0.2500 0.2500 0.2500  4 Pm 2.81, 4 Li 2.81

## Properties
The value obtained for the density of states at the Fermi level is 0.64 states/eV/atom. The space group is F-43m. The value obtained for the volume is 68 Å³/f.u. For the theoretical density, the calculation gives 4.47 g/cm3.

*c*
A plane-wave DFT calculation with PBE was carried out for LiPmP after structural relaxation.

Unit cell a=4.1057 b=4.1057 c=3.9908 alpha=90.00 beta=90.00 gamma=120.00
Closest atoms and distances in Å follow each position.
Atoms (fractional coordinates):
Li 0.0000 0.0000 0.0000  3 P 2.37
Pm 0.3333 0.6667 0.5000  6 Li 3.10, 6 P 3.10
P 0.6667 0.3333 0.0000  3 Li 2.37

## Properties
The value obtained for the density of states at the Fermi level is 0.21 states/eV/atom. The space group is P-6m2. The value obtained for the volume is 58 Å³/f.u. For the theoretical density, the calculation gives 5.21 g/cm3.

*d*
A plane-wave DFT calculation with PBE was carried out for LiPmP after structural relaxation.

Unit cell a=5.4417 b=5.4417 c=6.0716 alpha=99.81 beta=99.81 gamma=47.41
Closest atoms and distances in Å follow each position.
Atoms (fractional coordinates):
Li 0.1220 0.1220 0.4080  3 P 2.46-2.61
Li 0.8780 0.8780 0.5920  3 P 2.46-2.61
Pm 0.3723 0.3723 0.2217  4 P 2.86-3.00, 3 Li 2.92-3.13
Pm 0.6277 0.6277 0.7783  4 P 2.86-3.00, 3 Li 2.92-3.13
P 0.3283 0.3283 0.7432  3 Li 2.46-2.61
P 0.6717 0.6717 0.2568  3 Li 2.46-2.61

## Properties
The value obtained for the density of states at the Fermi level is 0.45 states/eV/atom. The space group is C2/m. The value obtained for the volume is 65 Å³/f.u. For the theoretical density, the calculation gives 4.67 g/cm3.

Short version: *c*, *b*, *d*, *a*, most stable first.

*a*
A plane-wave DFT calculation with PBE was carried out for LiPPt3 after structural relaxation.

Unit cell a=4.2623 b=4.2623 c=4.2623 alpha=90.00 beta=90.00 gamma=90.00
Closest atoms and distances in Å follow each position.
Atoms (fractional coordinates):
Li 0.0000 0.0000 0.0000  6 Pt 2.13
P 0.5000 0.5000 0.5000  12 Pt 3.01
Pt 0.0000 0.0000 0.5000  2 Li 2.13
Pt 0.0000 0.5000 0.0000  2 Li 2.13
Pt 0.5000 0.0000 0.0000  2 Li 2.13

## Properties
The value obtained for the density of states at the Fermi level is 0.98 states/eV/atom. The space group is Pm-3m. The value obtained for the volume is 77 Å³/f.u. For the theoretical density, the calculation gives 13.36 g/cm3.

*b*
A plane-wave DFT calculation with PBE was carried out for LiPPt3 after structural relaxation.

Unit cell a=6.6580 b=4.4653 c=5.4717 alpha=90.00 beta=90.00 gamma=90.00
Closest atoms and distances in Å follow each position.
Atoms (fractional coordinates):
Li 0.0000 0.0633 0.0000  6 Pt 2.66-2.89, 1 P 2.88
Li 0.5000 0.9367 0.5000  6 Pt 2.66-2.89, 1 P 2.88
P 0.0000 0.6135 0.6226  6 Pt 2.25-2.45
P 0.5000 0.3865 0.1226  6 Pt 2.25-2.45
Pt 0.0000 0.0901 0.4865  2 P 2.25-2.45
Pt 0.2086 0.5942 0.2601  2 P 2.28-2.42
Pt 0.2914 0.4058 0.7601  2 P 2.28-2.42
Pt 0.5000 0.9098 0.9865  2 P 2.25-2.45
Pt 0.7086 0.4058 0.7601  2 P 2.28-2.42
Pt 0.7914 0.5942 0.2601  2 P 2.28-2.42

## Properties
The value obtained for the density of states at the Fermi level is 0.41 states/eV/atom. The space group is Pmn2_1. The value obtained for the volume is 81 Å³/f.u. For the theoretical density, the calculation gives 12.72 g/cm3.

*c*
A plane-wave DFT calculation with PBE was carried out for LiPPt3 after structural relaxation.

Unit cell a=8.1164 b=8.1164 c=4.0972 alpha=90.00 beta=90.00 gamma=120.00
Closest atoms and distances in Å follow each position.
Atoms (fractional coordinates):
Li 0.0000 0.0000 0.0000  12 Pt 2.97-3.11, 6 P 3.28
Li 0.3333 0.6667 0.5000  6 Pt 2.60, 3 P 2.78
Li 0.6667 0.3333 0.5000  6 Pt 2.60, 3 P 2.78
P 0.0000 0.6839 0.5000  6 Pt 2.38-2.47
P 0.3161 0.3161 0.5000  6 Pt 2.38-2.47
P 0.6839 0.0000 0.5000  6 Pt 2.38-2.47
Pt 0.0000 0.2641 0.5000  2 P 2.38
Pt 0.1924 0.7513 0.0000  2 P 2.47, 2 Li 2.60, 3 Pt 2.70-2.73
Pt 0.2487 0.4411 0.0000  2 P 2.47, 2 Li 2.60, 3 Pt 2.70-2.73
Pt 0.2641 0.0000 0.5000  2 P 2.38
Pt 0.4411 0.2487 0.0000  2 P 2.47, 2 Li 2.60, 3 Pt 2.70-2.73
Pt 0.5589 0.8076 0.0000  2 P 2.47, 2 Li 2.60, 3 Pt 2.70-2.73
Pt 0.7359 0.7359 0.5000  2 P 2.38
Pt 0.7513 0.1924 0.0000  2 P 2.47, 2 Li 2.60, 3 Pt 2.70-2.73
Pt 0.8076 0.5589 0.0000  2 P 2.47, 2 Li 2.60, 3 Pt 2.70-2.73

## Properties
The value obtained for the density of states at the Fermi level is 0.40 states/eV/atom. The space group is P-62m. The value obtained for the volume is 78 Å³/f.u. For the theoretical density, the calculation gives 13.28 g/cm3.

Short version: *b*, *c*, *a*, most stable first.

*a*
A plane-wave DFT calculation with PBE was carried out for LiPPt3 after structural relaxation.

Unit cell a=6.0905 b=6.0905 c=5.5813 alpha=90.00 beta=90.00 gamma=126.01
Closest atoms and distances in Å follow each position.
Atoms (fractional coordinates):
Li 0.2444 0.7556 0.7500  4 Pt 2.83-2.89, 4 P 3.13-3.17
Li 0.7556 0.2444 0.2500  4 Pt 2.83-2.89, 4 P 3.13-3.17
P 0.1134 0.8866 0.2500  5 Pt 2.16-2.34
P 0.8866 0.1134 0.7500  5 Pt 2.16-2.34
Pt 0.2574 0.2574 0.0000  2 P 2.34
Pt 0.2574 0.2574 0.5000  2 P 2.34
Pt 0.3122 0.6878 0.2500  1 P 2.16
Pt 0.6878 0.3122 0.7500  1 P 2.16
Pt 0.7426 0.7426 0.0000  2 P 2.34
Pt 0.7426 0.7426 0.5000  2 P 2.34

## Properties
The value obtained for the density of states at the Fermi level is 0.21 states/eV/atom. The space group is Cmcm. The value obtained for the volume is 84 Å³/f.u. For the theoretical density, the calculation gives 12.36 g/cm3.

*b*
A plane-wave DFT calculation with PBE was carried out for LiPPt3 after structural relaxation.

Unit cell a=4.5116 b=4.5116 c=4.5116 alpha=90.00 beta=90.00 gamma=90.00
Closest atoms and distances in Å follow each position.
Atoms (fractional coordinates):
Li 0.0000 0.0000 0.0000  12 Pt 3.19
P 0.5000 0.5000 0.5000  6 Pt 2.26
Pt 0.0000 0.5000 0.5000  2 P 2.26
Pt 0.5000 0.0000 0.5000  2 P 2.26
Pt 0.5000 0.5000 0.0000  2 P 2.26

## Properties
The value obtained for the density of states at the Fermi level is 0.89 states/eV/atom. The space group is Pm-3m. The value obtained for the volume is 92 Å³/f.u. For the theoretical density, the calculation gives 11.27 g/cm3.

Short version: *a*, *b*, most stable first.

*a*
A plane-wave DFT calculation with PBE was carried out for Li4PPt after structural relaxation.

Unit cell a=4.2396 b=4.9153 c=4.9209 alpha=96.61 beta=115.41 gamma=115.49
Closest atoms and distances in Å follow each position.
Atoms (fractional coordinates):
Li 0.0000 0.0000 0.0000  5 Li 2.43-2.51, 2 P 2.71-2.72
Li 0.0206 0.3530 0.6912  5 Li 2.43-2.51, 1 P 2.72, 1 Pt 2.72
Li 0.5011 0.4991 0.5053  5 Li 2.43-2.51, 1 P 2.72
Li 0.5245 0.8521 0.1967  5 Li 2.43-2.51, 2 P 2.71-2.72
P 0.2622 0.9261 0.5984  2 Pt 2.50, 10 Li 2.71-2.78
Pt 0.7614 0.4261 0.0983  2 P 2.50, 12 Li 2.72-2.77

## Properties
The value obtained for the density of states at the Fermi level is 0.23 states/eV/atom. The space group is P1. The value obtained for the volume is 78 Å³/f.u. For the theoretical density, the calculation gives 5.42 g/cm3.

*b*
A plane-wave DFT calculation with PBE was carried out for Li4PPt after structural relaxation.

Unit cell a=4.7281 b=4.7281 c=4.7281 alpha=60.00 beta=60.00 gamma=60.00
Closest atoms and distances in Å follow each position.
Atoms (fractional coordinates):
Li 0.3760 0.3760 0.3760  6 Li 2.35-2.38
Li 0.3760 0.3760 0.8720  6 Li 2.35-2.38
Li 0.3760 0.8720 0.3760  6 Li 2.35-2.38
Li 0.8720 0.3760 0.3760  6 Li 2.35-2.38
P 0.0000 0.0000 0.0000  12 Li 2.77, 4 Pt 2.90
Pt 0.7500 0.7500 0.7500  12 Li 2.77, 4 P 2.90

## Properties
The value obtained for the density of states at the Fermi level is 0.35 states/eV/atom. The space group is F-43m. The value obtained for the volume is 75 Å³/f.u. For the theoretical density, the calculation gives 5.64 g/cm3.

Short version: *a*, *b*, most stable first.

*a*
A plane-wave DFT calculation with PBE was carried out for Li2PPt2 after structural relaxation.

Unit cell a=5.3448 b=5.3448 c=6.9907 alpha=100.02 beta=100.02 gamma=57.69
Closest atoms and distances in Å follow each position.
Atoms (fractional coordinates):
Li 0.0307 0.2706 0.1578  6 Pt 2.75-2.92, 1 P 3.03
Li 0.2706 0.0307 0.6578  6 Pt 2.75-2.92, 1 P 3.03
Li 0.7294 0.9693 0.3422  6 Pt 2.75-2.92, 1 P 3.03
Li 0.9693 0.7294 0.8422  6 Pt 2.75-2.92, 1 P 3.03
P 0.3708 0.6292 0.2500  4 Pt 2.32-2.33
P 0.6292 0.3708 0.7500  4 Pt 2.32-2.33
Pt 0.2418 0.5015 0.5014  2 P 2.32-2.33, 1 Pt 2.59
Pt 0.4985 0.7582 0.9986  2 P 2.32-2.33, 1 Pt 2.59
Pt 0.5015 0.2418 0.0014  2 P 2.32-2.33, 1 Pt 2.59
Pt 0.7582 0.4985 0.4986  2 P 2.32-2.33, 1 Pt 2.59

## Properties
The value obtained for the density of states at the Fermi level is 0.17 states/eV/atom. The space group is C2/c. The value obtained for the volume is 83 Å³/f.u. For the theoretical density, the calculation gives 8.73 g/cm3.

*b*
A plane-wave DFT calculation with PBE was carried out for Li2PPt2 after structural relaxation.

Unit cell a=6.1282 b=6.1282 c=4.2146 alpha=90.00 beta=90.00 gamma=90.00
Closest atoms and distances in Å follow each position.
Atoms (fractional coordinates):
Li 0.1572 0.3428 0.0000  6 Pt 2.65-2.86, 1 Li 2.72
Li 0.3428 0.8428 0.0000  6 Pt 2.65-2.86, 1 Li 2.72
Li 0.6572 0.1572 0.0000  6 Pt 2.65-2.86, 1 Li 2.72
Li 0.8428 0.6572 0.0000  6 Pt 2.65-2.86, 1 Li 2.72
P 0.0000 0.0000 0.5000  4 Pt 2.31
P 0.5000 0.5000 0.5000  4 Pt 2.31
Pt 0.1577 0.6577 0.5000  2 P 2.31
Pt 0.3423 0.1577 0.5000  2 P 2.31
Pt 0.6577 0.8423 0.5000  2 P 2.31
Pt 0.8423 0.3423 0.5000  2 P 2.31

## Properties
The value obtained for the density of states at the Fermi level is 0.51 states/eV/atom. The space group is P4/mbm. The value obtained for the volume is 79 Å³/f.u. For the theoretical density, the calculation gives 9.13 g/cm3.

Short version: *a*, *b*, most stable first.

*a*
A plane-wave DFT calculation with PBE was carried out for LiPPt4 after structural relaxation.

Unit cell a=5.2623 b=5.2623 c=5.2623 alpha=60.00 beta=60.00 gamma=60.00
Closest atoms and distances in Å follow each position.
Atoms (fractional coordinates):
Li 0.0000 0.0000 0.0000  12 Pt 3.09, 4 P 3.22
P 0.7500 0.7500 0.7500  12 Pt 3.09, 4 Li 3.22
Pt 0.3751 0.3751 0.3751  6 Pt 2.63
Pt 0.3751 0.3751 0.8747  6 Pt 2.63
Pt 0.3751 0.8747 0.3751  6 Pt 2.63
Pt 0.8747 0.3751 0.3751  6 Pt 2.63

## Properties
The value obtained for the density of states at the Fermi level is 1.28 states/eV/atom. The space group is F-43m. The value obtained for the volume is 103 Å³/f.u. For the theoretical density, the calculation gives 13.19 g/cm3.

*b*
A plane-wave DFT calculation with PBE was carried out for LiPPt4 after structural relaxation.

Unit cell a=5.9088 b=5.9088 c=7.5245 alpha=112.11 beta=112.11 gamma=56.16
Closest atoms and distances in Å follow each position.
Atoms (fractional coordinates):
Li 0.1849 0.1849 0.3017  9 Pt 2.93-3.20, 3 P 3.04-3.07
Li 0.8151 0.8151 0.6983  9 Pt 2.93-3.20, 3 P 3.04-3.07
P 0.4405 0.4405 0.6998  5 Pt 2.19-2.34
P 0.5595 0.5595 0.3002  5 Pt 2.19-2.34
Pt 0.1428 0.6557 0.0790  1 P 2.29
Pt 0.2424 0.7576 0.5000  2 P 2.34
Pt 0.2439 0.2439 0.7390  1 P 2.19
Pt 0.3443 0.8572 0.9210  1 P 2.29
Pt 0.6557 0.1428 0.0790  1 P 2.29
Pt 0.7561 0.7561 0.2610  1 P 2.19
Pt 0.7576 0.2424 0.5000  2 P 2.34
Pt 0.8572 0.3443 0.9210  1 P 2.29

## Properties
The value obtained for the density of states at the Fermi level is 0.55 states/eV/atom. The space group is C2/m. The value obtained for the volume is 99 Å³/f.u. For the theoretical density, the calculation gives 13.77 g/cm3.

Short version: *b*, *a*, most stable first.